First-principles (PBE) data for an optimized crystal structure of Dy2Ga4PdAu3, as listed in Alexandria.

## Properties
The calculation puts the formation energy from the elements at -6.38 eV per formula unit.

Lattice parameters (Å, degrees): 4.281 4.281 10.774 90.00 90.00 90.00
Fractional coordinates of all 10 atoms:
Dy (0.000, 0.500, 0.246)
Dy (0.500, 0.000, 0.754)
Ga (0.000, 0.000, 0.500)
Ga (0.000, 0.500, 0.871)
Ga (0.500, 0.000, 0.129)
Ga (0.500, 0.500, 0.500)
Pd (0.500, 0.500, 0.000)
Au (0.000, 0.000, 0.000)
Au (0.000, 0.500, 0.640)
Au (0.500, 0.000, 0.360)



First-principles (PBE) data for an optimized crystal structure of TbPr2Sm6Er3, as listed in Alexandria.

## Properties
The calculation puts the formation energy from the elements at 0.21 eV per formula unit.

Lattice parameters (Å, degrees): 6.251 6.251 11.937 95.00 95.00 119.99
Fractional coordinates of all 12 atoms:
Tb (0.000, 0.000, 0.000)
Pr (0.333, 0.667, 0.000)
Pr (0.667, 0.333, 0.000)
Sm (0.085, 0.417, 0.255)
Sm (0.248, 0.248, 0.745)
Sm (0.417, 0.085, 0.255)
Sm (0.583, 0.915, 0.745)
Sm (0.752, 0.752, 0.255)
Sm (0.915, 0.583, 0.745)
Er (0.166, 0.834, 0.500)
Er (0.500, 0.500, 0.500)
Er (0.834, 0.166, 0.500)



First-principles (PBE) data for an optimized crystal structure of ScPtW, as listed in Alexandria.

## Properties
The calculation puts the formation energy from the elements at -1.02 eV per formula unit.

Lattice parameters (Å, degrees): 6.577 6.577 6.577 154.78 154.78 35.96
Fractional coordinates of all 3 atoms:
Sc (0.000, 0.000, 0.000)
Pt (0.670, 0.670, 0.000)
W (0.321, 0.321, 0.000)



First-principles (PBE) data for an optimized crystal structure of PmPaGaCu, as listed in Alexandria.

## Properties
The calculation puts the formation energy from the elements at -0.23 eV per formula unit.

Lattice parameters (Å, degrees): 5.025 5.025 5.025 60.00 60.00 60.00
Fractional coordinates of all 4 atoms:
Pm (0.000, 0.000, 0.000)
Pa (0.500, 0.500, 0.500)
Ga (0.750, 0.750, 0.750)
Cu (0.250, 0.250, 0.250)



First-principles (PBE) data for an optimized crystal structure of Eu3Ta, as listed in Alexandria.

## Properties
The calculation puts the formation energy from the elements at 2.74 eV per formula unit.

Lattice parameters (Å, degrees): 5.963 5.963 5.963 130.82 130.82 72.11
Fractional coordinates of all 4 atoms:
Eu (0.000, 0.000, 0.000)
Eu (0.250, 0.750, 0.500)
Eu (0.750, 0.250, 0.500)
Ta (0.500, 0.500, 0.000)



First-principles (PBE) data for an optimized crystal structure of HoVRe4, as listed in Alexandria.

## Properties
The calculation puts the formation energy from the elements at 0.41 eV per formula unit.

Lattice parameters (Å, degrees): 5.279 5.279 5.279 60.00 60.00 60.00
Fractional coordinates of all 6 atoms:
Ho (0.000, 0.000, 0.000)
V (0.750, 0.750, 0.750)
Re (0.375, 0.375, 0.375)
Re (0.375, 0.375, 0.875)
Re (0.375, 0.875, 0.375)
Re (0.875, 0.375, 0.375)



First-principles (PBE) data for an optimized crystal structure of CrAg4Sb, as listed in Alexandria.

## Properties
For the energy relative to the elements, uncorrected, the calculation gives 0.28 eV/atom.

Lattice parameters (Å, degrees): 5.532 5.532 5.532 60.00 60.00 60.00
Fractional coordinates of all 6 atoms:
Cr (0.000, 0.000, 0.000)
Ag (0.374, 0.374, 0.374)
Ag (0.374, 0.374, 0.877)
Ag (0.374, 0.877, 0.374)
Ag (0.877, 0.374, 0.374)
Sb (0.750, 0.750, 0.750)



First-principles (PBE) data for an optimized crystal structure of KBaNaBi, as listed in Alexandria.

## Properties
The calculation puts the formation energy from the elements at -1.67 eV per formula unit.

Lattice parameters (Å, degrees): 6.105 6.105 6.105 60.00 60.00 60.00
Fractional coordinates of all 4 atoms:
K (0.000, 0.000, 0.000)
Ba (0.500, 0.500, 0.500)
Na (0.750, 0.750, 0.750)
Bi (0.250, 0.250, 0.250)



First-principles (PBE) data for an optimized crystal structure of HoPuPt, as listed in Alexandria.

## Properties
The calculation puts the formation energy from the elements at -1.38 eV per formula unit.

Lattice parameters (Å, degrees): 6.928 6.928 6.928 31.81 31.81 31.81
Fractional coordinates of all 3 atoms:
Ho (0.000, 0.000, 0.000)
Pu (0.814, 0.814, 0.814)
Pt (0.577, 0.577, 0.577)



First-principles (PBE) data for an optimized crystal structure of Ba2AlTlF8, as listed in Alexandria.

## Properties
For the energy relative to the elements, uncorrected, the calculation gives -3.33 eV/atom.

Lattice parameters (Å, degrees): 5.568 5.568 8.202 90.00 90.00 120.00
Fractional coordinates of all 12 atoms:
Ba (0.333, 0.667, 0.315)
Ba (0.667, 0.333, 0.685)
Al (0.000, 0.000, 0.500)
Tl (0.000, 0.000, 0.000)
F (0.154, 0.309, 0.628)
F (0.154, 0.846, 0.628)
F (0.309, 0.154, 0.372)
F (0.333, 0.667, 0.023)
F (0.667, 0.333, 0.977)
F (0.691, 0.846, 0.628)
F (0.846, 0.154, 0.372)
F (0.846, 0.691, 0.372)



First-principles (PBE) data for an optimized crystal structure of Ce5Pu2Hg, as listed in Alexandria.

## Properties
The calculation puts the formation energy from the elements at -0.17 eV per formula unit.

Lattice parameters (Å, degrees): 6.608 6.608 6.660 120.26 120.26 61.31
Fractional coordinates of all 8 atoms:
Ce (0.000, 0.000, 0.000)
Ce (0.000, 0.500, 0.501)
Ce (0.000, 0.501, 0.002)
Ce (0.500, 0.000, 0.501)
Ce (0.501, 0.000, 0.002)
Pu (0.000, 0.000, 0.501)
Pu (0.501, 0.501, 0.502)
Hg (0.500, 0.500, 0.001)



First-principles (PBE) data for an optimized crystal structure of Ba3Mg, as listed in Alexandria.

## Properties
The calculation puts the formation energy from the elements at 0.19 eV per formula unit.

Lattice parameters (Å, degrees): 7.173 8.374 20.156 90.00 90.12 90.00
Fractional coordinates of all 24 atoms:
Ba (0.031, 0.250, 0.250)
Ba (0.211, 0.250, 0.888)
Ba (0.213, 0.250, 0.611)
Ba (0.263, 0.003, 0.431)
Ba (0.263, 0.497, 0.431)
Ba (0.264, 0.003, 0.068)
Ba (0.264, 0.497, 0.068)
Ba (0.462, 0.509, 0.750)
Ba (0.462, 0.991, 0.750)
Ba (0.538, 0.009, 0.250)
Ba (0.538, 0.491, 0.250)
Ba (0.736, 0.503, 0.932)
Ba (0.736, 0.997, 0.932)
Ba (0.737, 0.503, 0.569)
Ba (0.737, 0.997, 0.569)
Ba (0.787, 0.750, 0.389)
Ba (0.789, 0.750, 0.112)
Ba (0.969, 0.750, 0.750)
Mg (0.115, 0.750, 0.251)
Mg (0.271, 0.750, 0.592)
Mg (0.271, 0.750, 0.908)
Mg (0.729, 0.250, 0.092)
Mg (0.729, 0.250, 0.408)
Mg (0.885, 0.250, 0.749)



no.,calculated density (g/cm³),E_tot (eV per atom)
1,10.9,-4.27
2,7.7,-4.66
3,13.7,-8.78
4,9.4,-5.40
5,8.9,-9.98
6,15.3,-10.51
7,8.4,-3.91
8,4.2,-2.47
9,12.2,-8.78
10,5.0,-5.41
11,11.2,-7.35
12,3.6,-1.79